Mg2AlCo2 after structural relaxation. Source: Alexandria via LeMat-Bulk, functional PBE-GGA.

- DOS(E_F) (states/eV/f.u.) = 3.13
- total magnetic moment (μB/cell) = 0.00
- calculated formation energy (eV/atom) = 0.2483

a b c (Å): 7.076 7.076 2.887
angles (deg): 90.00 90.00 90.00
Space group P4/mbm (No. 127)
Inequivalent atoms, fractional coordinates:
Mg  0.130  0.370  0.000 (multiplicity 4)
Al  0.000  0.000  0.000 (multiplicity 2)
Co  0.172  0.672  0.500 (multiplicity 4)